1.
A plane-wave DFT calculation with PBE was carried out for a geometry-optimized LiB2C2 structure.

- calculated density (g cm⁻³) = 1.856
- offset from the most stable computed form (meV per atom) = 47
- size of the total moment (μB/cell) = 0.0

```
data_LiB2C2
_chemical_formula_sum 'Li8 B16 C16'
_symmetry_space_group_name_H-M 'C 1 m 1'
_symmetry_Int_Tables_number 8
_cell_length_a 15.595
_cell_length_b 2.689
_cell_length_c 9.425
_cell_angle_alpha 90.00
_cell_angle_beta 107.70
_cell_angle_gamma 90.00
loop_
_symmetry_equiv_pos_as_xyz
'x,y,z'
'x,-y,z'
'x+1/2,y+1/2,z'
'x+1/2,-y+1/2,z'
loop_
_atom_site_label
_atom_site_type_symbol
_atom_site_fract_x
_atom_site_fract_y
_atom_site_fract_z
Li1 Li 0.000 0.000 0.000
Li2 Li 0.002 0.500 0.273
Li3 Li 0.007 0.000 0.551
Li4 Li 0.252 0.500 0.907
B1 B 0.120 0.500 0.161
B2 B 0.121 0.000 0.413
B3 B 0.125 0.000 0.913
B4 B 0.135 0.500 0.669
B5 B 0.374 0.000 0.878
B6 B 0.379 0.500 0.634
B7 B 0.381 0.500 0.134
B8 B 0.386 0.000 0.387
C1 C 0.115 0.000 0.245
C2 C 0.122 0.500 0.499
C3 C 0.122 0.500 0.998
C4 C 0.136 0.000 0.755
C5 C 0.373 0.500 0.794
C6 C 0.378 0.000 0.046
C7 C 0.385 0.000 0.551
C8 C 0.389 0.500 0.302
```

2.
A plane-wave DFT calculation with PBE was carried out for a geometry-optimized Sm4Tl5Ir2 structure.

- calculated density (g cm⁻³) = 11.309
- energy (eV per atom) = -4.848
- size of the total moment (μB/cell) = 0.0

```
data_Sm4Tl5Ir2
_chemical_formula_sum 'Sm4 Tl5 Ir2'
_symmetry_space_group_name_H-M 'P 1 2/m 1'
_symmetry_Int_Tables_number 10
_cell_length_a 8.012
_cell_length_b 3.772
_cell_length_c 9.775
_cell_angle_alpha 90.00
_cell_angle_beta 93.77
_cell_angle_gamma 90.00
loop_
_symmetry_equiv_pos_as_xyz
'x,y,z'
'-x,-y,-z'
'-x,y,-z'
'x,-y,z'
loop_
_atom_site_label
_atom_site_type_symbol
_atom_site_fract_x
_atom_site_fract_y
_atom_site_fract_z
Sm1 Sm 0.187 0.000 0.339
Sm2 Sm 0.210 0.000 0.934
Tl1 Tl 0.154 0.500 0.637
Tl2 Tl 0.456 0.500 0.165
Tl3 Tl 0.500 0.500 0.500
Ir1 Ir 0.077 0.500 0.135
```

3.
A plane-wave DFT calculation with PBE was carried out for a geometry-optimized PPdRu3 structure.

- calculated density (g cm⁻³) = 9.061
- offset from the most stable computed form (meV per atom) = 0
- size of the total moment (μB/cell) = 0.9

```
data_PPdRu3
_chemical_formula_sum 'P1 Pd1 Ru3'
_symmetry_space_group_name_H-M 'P m -3 m'
_symmetry_Int_Tables_number 221
_symmetry_space_group_name_Hall '-P 4 2 3'
_cell_length_a 4.322
_cell_length_b 4.322
_cell_length_c 4.322
_cell_angle_alpha 90.00
_cell_angle_beta 90.00
_cell_angle_gamma 90.00
loop_
_atom_site_label
_atom_site_type_symbol
_atom_site_fract_x
_atom_site_fract_y
_atom_site_fract_z
P1 P 0.000 0.000 0.000
Pd1 Pd 0.500 0.500 0.500
Ru1 Ru 0.000 0.000 0.500
```